Entry 1:
Density functional theory data (PBE-GGA) for a relaxed KSrSN2 crystal.

POSCAR file:
```
KSrSN2
1.0
4.809 0.000 0.000
0.000 4.809 0.000
0.000 0.000 5.854
K Sr S N
1 1 1 2
Direct
0.000 0.000 0.000
0.500 0.500 0.500
0.000 0.000 0.500
0.000 0.500 0.000
0.500 0.000 0.000
```

Formation energy (no corrections)   1.11 eV per atom
Crystal system   tetragonal
Total energy   -18.02 eV/cell
Polymorph energy (0 for the lowest one)   0.340 eV/atom
DOS at the Fermi energy   1.7 states/eV/f.u.

=====

Entry 2:
Density functional theory data (PBE-GGA) for a relaxed KSrSN2 crystal.

POSCAR file:
```
KSrSN2
1.0
5.071 0.000 0.000
0.000 5.071 0.000
0.000 0.000 5.808
K Sr S N
1 1 1 2
Direct
0.000 0.000 0.000
0.500 0.500 0.500
0.500 0.500 0.000
0.000 0.500 0.500
0.500 0.000 0.500
```

Formation energy (no corrections)   0.77 eV per atom
Crystal system   tetragonal
Total energy   -19.72 eV/cell
Polymorph energy (0 for the lowest one)   0.000 eV/atom
DOS at the Fermi energy   4.7 states/eV/f.u.

=====

Entry 3:
Density functional theory data (PBE-GGA) for a relaxed KTaSN2 crystal.

POSCAR file:
```
KTaSN2
1.0
4.055 0.000 0.000
0.000 4.055 0.000
0.000 0.000 5.194
K Ta S N
1 1 1 2
Direct
0.000 0.000 0.000
0.500 0.500 0.500
0.000 0.000 0.500
0.000 0.500 0.000
0.500 0.000 0.000
```

Formation energy (no corrections)   2.67 eV per atom
Crystal system   tetragonal
Total energy   -20.37 eV/cell
Polymorph energy (0 for the lowest one)   2.915 eV/atom
DOS at the Fermi energy   4.2 states/eV/f.u.

=====

Entry 4:
Density functional theory data (PBE-GGA) for a relaxed KTaSN2 crystal.

POSCAR file:
```
KTaSN2
1.0
4.160 0.000 0.000
0.000 4.160 0.000
0.000 0.000 4.967
K Ta S N
1 1 1 2
Direct
0.000 0.000 0.000
0.500 0.500 0.500
0.500 0.500 0.000
0.000 0.500 0.500
0.500 0.000 0.500
```

Formation energy (no corrections)   -0.24 eV per atom
Crystal system   tetragonal
Total energy   -34.94 eV/cell
Polymorph energy (0 for the lowest one)   0.000 eV/atom
DOS at the Fermi energy   3.1 states/eV/f.u.

=====

Entry 5:
Density functional theory data (PBE-GGA) for a relaxed KTcSN2 crystal.

POSCAR file:
```
KTcSN2
1.0
4.653 0.000 0.000
0.000 4.653 0.000
0.000 0.000 6.035
K Tc S N
1 1 1 2
Direct
0.000 0.000 0.000
0.500 0.500 0.500
0.000 0.000 0.500
0.000 0.500 0.000
0.500 0.000 0.000
```

Formation energy (no corrections)   2.76 eV per atom
Crystal system   tetragonal
Total energy   -18.46 eV/cell
Polymorph energy (0 for the lowest one)   2.509 eV/atom
DOS at the Fermi energy   2.5 states/eV/f.u.

=====

Entry 6:
Density functional theory data (PBE-GGA) for a relaxed KTcSN2 crystal.

POSCAR file:
```
KTcSN2
1.0
3.959 0.000 0.000
0.000 3.959 0.000
0.000 0.000 4.944
K Tc S N
1 1 1 2
Direct
0.000 0.000 0.000
0.500 0.500 0.500
0.500 0.500 0.000
0.000 0.500 0.500
0.500 0.000 0.500
```

Formation energy (no corrections)   0.25 eV per atom
Crystal system   tetragonal
Total energy   -31.01 eV/cell
Polymorph energy (0 for the lowest one)   0.000 eV/atom
DOS at the Fermi energy   1.7 states/eV/f.u.

=====

Entry 7:
Density functional theory data (PBE-GGA) for a relaxed KTeSN2 crystal.

POSCAR file:
```
KTeSN2
1.0
4.789 0.000 0.000
0.000 4.789 0.000
0.000 0.000 6.153
K Te S N
1 1 1 2
Direct
0.000 0.000 0.000
0.500 0.500 0.500
0.000 0.000 0.500
0.000 0.500 0.000
0.500 0.000 0.000
```

Formation energy (no corrections)   2.15 eV per atom
Crystal system   tetragonal
Total energy   -14.24 eV/cell
Polymorph energy (0 for the lowest one)   1.234 eV/atom
DOS at the Fermi energy   3.1 states/eV/f.u.

=====

Entry 8:
Density functional theory data (PBE-GGA) for a relaxed KTeSN2 crystal.

POSCAR file:
```
KTeSN2
1.0
4.522 0.000 0.000
0.000 4.522 0.000
0.000 0.000 5.191
K Te S N
1 1 1 2
Direct
0.000 0.000 0.000
0.500 0.500 0.000
0.500 0.500 0.500
0.000 0.500 0.500
0.500 0.000 0.500
```

Formation energy (no corrections)   1.53 eV per atom
Crystal system   tetragonal
Total energy   -17.38 eV/cell
Polymorph energy (0 for the lowest one)   0.606 eV/atom
DOS at the Fermi energy   2.9 states/eV/f.u.

=====

Entry 9:
Density functional theory data (PBE-GGA) for a relaxed KTeSN2 crystal.

POSCAR file:
```
KTeSN2
1.0
4.256 0.000 0.000
0.000 4.256 0.000
0.000 0.000 5.248
K Te S N
1 1 1 2
Direct
0.000 0.000 0.000
0.500 0.500 0.500
0.500 0.500 0.000
0.000 0.500 0.500
0.500 0.000 0.500
```

Formation energy (no corrections)   0.92 eV per atom
Crystal system   tetragonal
Total energy   -20.41 eV/cell
Polymorph energy (0 for the lowest one)   0.000 eV/atom
DOS at the Fermi energy   3.5 states/eV/f.u.

=====

Entry 10:
Density functional theory data (PBE-GGA) for a relaxed KTiSN2 crystal.

POSCAR file:
```
KTiSN2
1.0
4.166 0.000 0.000
0.000 4.166 0.000
0.000 0.000 4.824
K Ti S N
1 1 1 2
Direct
0.000 0.000 0.000
0.500 0.500 0.500
0.500 0.500 0.000
0.000 0.500 0.500
0.500 0.000 0.500
```

Formation energy (no corrections)   -0.04 eV per atom
Crystal system   tetragonal
Total energy   -29.97 eV/cell
Polymorph energy (0 for the lowest one)   0.000 eV/atom
DOS at the Fermi energy   2.2 states/eV/f.u.

=====

Entry 11:
Density functional theory data (PBE-GGA) for a relaxed KTiS2N crystal.

POSCAR file:
```
KTiS2N
1.0
4.892 0.000 0.000
0.000 4.892 0.000
0.000 0.000 4.042
K Ti S N
1 1 2 1
Direct
0.000 0.000 0.000
0.500 0.500 0.500
0.000 0.500 0.500
0.500 0.000 0.500
0.500 0.500 0.000
```

Formation energy (no corrections)   -0.55 eV per atom
Crystal system   tetragonal
Total energy   -28.32 eV/cell
Polymorph energy (0 for the lowest one)   0.000 eV/atom
DOS at the Fermi energy   2.0 states/eV/f.u.

=====

Entry 12:
Density functional theory data (PBE-GGA) for a relaxed KTiS2N crystal.

POSCAR file:
```
KTiS2N
1.0
5.396 0.000 0.000
0.000 5.396 0.000
0.000 0.000 4.571
K Ti S N
1 1 2 1
Direct
0.000 0.000 0.000
0.500 0.500 0.500
0.000 0.500 0.000
0.500 0.000 0.000
0.000 0.000 0.500
```

Formation energy (no corrections)   1.59 eV per atom
Crystal system   tetragonal
Total energy   -17.62 eV/cell
Polymorph energy (0 for the lowest one)   2.142 eV/atom
DOS at the Fermi energy   3.4 states/eV/f.u.

=====

Entry 13:
Density functional theory data (PBE-GGA) for a relaxed KTiSN2 crystal.

POSCAR file:
```
KTiSN2
1.0
4.185 0.000 0.000
0.000 4.185 0.000
0.000 0.000 5.556
K Ti S N
1 1 1 2
Direct
0.000 0.000 0.000
0.500 0.500 0.500
0.000 0.000 0.500
0.000 0.500 0.000
0.500 0.000 0.000
```

Formation energy (no corrections)   2.24 eV per atom
Crystal system   tetragonal
Total energy   -18.57 eV/cell
Polymorph energy (0 for the lowest one)   2.281 eV/atom
DOS at the Fermi energy   5.8 states/eV/f.u.

=====

Entry 14:
Density functional theory data (PBE-GGA) for a relaxed KTlS2N crystal.

POSCAR file:
```
KTlS2N
1.0
5.150 0.000 0.000
0.000 5.150 0.000
0.000 0.000 6.903
K Tl S N
1 1 2 1
Direct
0.000 0.000 0.000
0.000 0.000 0.500
0.000 0.500 0.500
0.500 0.000 0.500
0.500 0.500 0.000
```

Formation energy (no corrections)   1.05 eV per atom
Crystal system   tetragonal
Total energy   -14.81 eV/cell
Polymorph energy (0 for the lowest one)   0.426 eV/atom
DOS at the Fermi energy   5.8 states/eV/f.u.

=====

Entry 15:
Density functional theory data (PBE-GGA) for a relaxed KTlSN2 crystal.

POSCAR file:
```
KTlSN2
1.0
5.112 0.000 0.000
0.000 5.112 0.000
0.000 0.000 6.054
K Tl S N
1 1 1 2
Direct
0.000 0.000 0.000
0.500 0.500 0.500
0.000 0.000 0.500
0.000 0.500 0.000
0.500 0.000 0.000
```

Formation energy (no corrections)   1.79 eV per atom
Crystal system   tetragonal
Total energy   -15.27 eV/cell
Polymorph energy (0 for the lowest one)   0.556 eV/atom
DOS at the Fermi energy   3.3 states/eV/f.u.

=====

Entry 16:
Density functional theory data (PBE-GGA) for a relaxed KTlSN2 crystal.

POSCAR file:
```
KTlSN2
1.0
4.671 0.000 0.000
0.000 4.671 0.000
0.000 0.000 5.338
K Tl S N
1 1 1 2
Direct
0.000 0.000 0.000
0.500 0.500 0.500
0.500 0.500 0.000
0.000 0.500 0.500
0.500 0.000 0.500
```

Formation energy (no corrections)   1.24 eV per atom
Crystal system   tetragonal
Total energy   -18.05 eV/cell
Polymorph energy (0 for the lowest one)   0.000 eV/atom
DOS at the Fermi energy   2.6 states/eV/f.u.

=====

Entry 17:
Density functional theory data (PBE-GGA) for a relaxed KTlS2N crystal.

POSCAR file:
```
KTlS2N
1.0
5.820 0.000 0.000
0.000 5.820 0.000
0.000 0.000 5.212
K Tl S N
1 1 2 1
Direct
0.000 0.000 0.000
0.500 0.500 0.500
0.000 0.500 0.000
0.500 0.000 0.000
0.000 0.000 0.500
```

Formation energy (no corrections)   1.22 eV per atom
Crystal system   tetragonal
Total energy   -13.96 eV/cell
Polymorph energy (0 for the lowest one)   0.595 eV/atom
DOS at the Fermi energy   4.6 states/eV/f.u.

=====

Entry 18:
Density functional theory data (PBE-GGA) for a relaxed KTlS2N crystal.

POSCAR file:
```
KTlS2N
1.0
5.287 0.000 0.000
0.000 5.287 0.000
0.000 0.000 4.681
K Tl S N
1 1 2 1
Direct
0.000 0.000 0.000
0.500 0.500 0.500
0.000 0.500 0.500
0.500 0.000 0.500
0.500 0.500 0.000
```

Formation energy (no corrections)   0.62 eV per atom
Crystal system   tetragonal
Total energy   -16.93 eV/cell
Polymorph energy (0 for the lowest one)   0.000 eV/atom
DOS at the Fermi energy   4.1 states/eV/f.u.

=====

Entry 19:
Density functional theory data (PBE-GGA) for a relaxed KVS2N crystal.

POSCAR file:
```
KVS2N
1.0
4.824 0.000 0.000
0.000 4.824 0.000
0.000 0.000 3.801
K V S N
1 1 2 1
Direct
0.000 0.000 0.000
0.500 0.500 0.500
0.000 0.500 0.500
0.500 0.000 0.500
0.500 0.500 0.000
```

Formation energy (no corrections)   -0.36 eV per atom
Crystal system   tetragonal
Total energy   -28.61 eV/cell
Polymorph energy (0 for the lowest one)   0.000 eV/atom
DOS at the Fermi energy   2.4 states/eV/f.u.

=====

Entry 20:
Density functional theory data (PBE-GGA) for a relaxed KVSN2 crystal.

POSCAR file:
```
KVSN2
1.0
4.005 0.000 0.000
0.000 4.005 0.000
0.000 0.000 4.742
K V S N
1 1 1 2
Direct
0.000 0.000 0.000
0.500 0.500 0.500
0.500 0.500 0.000
0.000 0.500 0.500
0.500 0.000 0.500
```

Formation energy (no corrections)   0.08 eV per atom
Crystal system   tetragonal
Total energy   -30.59 eV/cell
Polymorph energy (0 for the lowest one)   0.000 eV/atom
DOS at the Fermi energy   1.8 states/eV/f.u.